ZrFeSi: optimized geometry, PBEsol.

Computed properties:
As for the total magnetization: 0.60 μB/f.u. Its uncorrected energy is -52.313 eV for the cell shown. Its space group is Cmcm (63).

a b c (Å): 3.492 5.141 5.160
angles (deg): 90.00 90.00 109.85
Site moments in Bohr magnetons follow the coordinates.
Element x y z (fractional)
Si 0.412 0.824 0.250  -0.01
Si 0.588 0.176 0.750  -0.01
Zr 0.303 0.605 0.750  -0.07
Zr 0.697 0.395 0.250  -0.07
Fe 0.000 0.000 0.000  0.73
Fe 0.000 0.000 0.500  0.73



Re2PSe: optimized geometry, PBEsol.

Computed properties:
As for the total magnetization: 0.00 μB/f.u. Its uncorrected energy is -35.561 eV for the cell shown. Its space group is R-3m (166).

a b c (Å): 2.928 2.928 7.856
angles (deg): 79.26 79.26 60.00
Element x y z (fractional)
Re 0.745 0.745 0.766
Re 0.255 0.255 0.234
P 0.000 0.000 0.000
Se 0.500 0.500 0.500



KTe2Au: optimized geometry, PBEsol.

Computed properties:
As for the total magnetization: 0.00 μB/f.u. Its uncorrected energy is -12.842 eV for the cell shown. Its space group is P4mm (99).

a b c (Å): 3.757 3.757 9.131
angles (deg): 90.00 90.00 90.00
Element x y z (fractional)
Au 0.000 0.000 0.315
K 0.500 0.500 0.773
Te 0.500 0.500 0.400
Te 0.000 0.000 0.012



MnCu: optimized geometry, PBEsol.

Computed properties:
As for the total magnetization: 0.97 μB/f.u. Its uncorrected energy is -26.692 eV for the cell shown. The formation energy comes out at 0.3746 eV per atom. Its space group is Fd-3m (227).

a b c (Å): 3.959 3.959 3.959
angles (deg): 60.00 60.00 60.00
Site moments in Bohr magnetons follow the coordinates.
Element x y z (fractional)
Mn 0.250 0.250 0.250  0.88
Mn 0.000 0.000 0.000  0.88
Cu 0.750 0.750 0.750  0.09
Cu 0.500 0.500 0.500  0.09



ZrScP2: optimized geometry, PBEsol.

Computed properties:
As for the total magnetization: 0.00 μB/f.u. Its uncorrected energy is -33.274 eV for the cell shown. The formation energy comes out at -1.4992 eV per atom. Its space group is R-3m (166).

a b c (Å): 3.692 3.692 6.435
angles (deg): 73.33 73.33 60.00
Element x y z (fractional)
Sc 0.000 0.000 0.000
P 0.749 0.749 0.752
P 0.251 0.251 0.248
Zr 0.500 0.500 0.500



AsHS2Cl: optimized geometry, PBEsol.

Computed properties:
As for the total magnetization: 0.56 μB/f.u. Its uncorrected energy is -15.299 eV for the cell shown. Its space group is P4/mmm (123).

a b c (Å): 4.669 4.669 4.983
angles (deg): 90.00 90.00 90.00
Site moments in Bohr magnetons follow the coordinates.
Element x y z (fractional)
S 0.000 0.500 0.000  -0.09
S 0.500 0.000 0.000  -0.09
H 0.500 0.500 0.500  0.33
As 0.000 0.000 0.000  0.00
Cl 0.000 0.000 0.500  -0.01



SiTcAg2: optimized geometry, PBEsol.

Computed properties:
As for the total magnetization: 0.00 μB/f.u. Its uncorrected energy is -22.361 eV for the cell shown. Its space group is Imm2 (44).

a b c (Å): 3.024 4.560 5.181
angles (deg): 116.11 106.97 90.00
Element x y z (fractional)
Ag 0.224 0.724 0.447
Ag 0.001 0.001 0.002
Tc 0.785 0.285 0.571
Si 0.490 0.490 0.979



ZrHgAu2: optimized geometry, PBEsol.

Computed properties:
As for the total magnetization: 0.00 μB/f.u. Its uncorrected energy is -18.981 eV for the cell shown. The formation energy comes out at -0.3692 eV per atom. Its space group is I-4m2 (119).

a b c (Å): 4.788 4.679 4.788
angles (deg): 120.77 90.00 120.77
Element x y z (fractional)
Zr 0.250 0.500 0.750
Hg 0.000 0.000 0.000
Au 0.500 0.000 0.500
Au 0.750 0.500 0.250



Ho5Sn18Rh6: optimized geometry, PBEsol.

Computed properties:
As for the total magnetization: 0.00 μB/f.u. Its uncorrected energy is -167.066 eV for the cell shown. The formation energy comes out at -0.5799 eV per atom. Its space group is F-43m (216).

a b c (Å): 9.723 9.723 9.723
angles (deg): 60.00 60.00 60.00
Element x y z (fractional)
Sn 0.641 0.009 0.009
Sn 0.413 0.413 0.762
Sn 0.250 0.250 0.250
Sn 0.009 0.340 0.641
Sn 0.009 0.340 0.009
Sn 0.641 0.009 0.340
Sn 0.340 0.009 0.009
Sn 0.413 0.762 0.413
Sn 0.009 0.009 0.340
Sn 0.340 0.009 0.641
Sn 0.413 0.413 0.413
Sn 0.750 0.750 0.750
Sn 0.009 0.641 0.009
Sn 0.762 0.413 0.413
Sn 0.009 0.641 0.340
Sn 0.641 0.340 0.009
Sn 0.340 0.641 0.009
Sn 0.009 0.009 0.641
Ho 0.630 0.109 0.630
Ho 0.630 0.630 0.109
Ho 0.630 0.630 0.630
Ho 0.109 0.630 0.630
Ho 0.000 0.000 0.000
Rh 0.745 0.745 0.255
Rh 0.255 0.745 0.255
Rh 0.255 0.745 0.745
Rh 0.745 0.255 0.255
Rh 0.255 0.255 0.745
Rh 0.745 0.255 0.745



TcMo: optimized geometry, PBEsol.

Computed properties:
As for the total magnetization: 0.00 μB/f.u. Its uncorrected energy is -45.204 eV for the cell shown. The formation energy comes out at 0.2161 eV per atom. Its space group is I4_1/amd (141).

a b c (Å): 3.874 3.874 4.785
angles (deg): 113.88 113.88 90.00
Element x y z (fractional)
Mo 0.000 0.000 0.000
Mo 0.250 0.750 0.500
Tc 0.750 0.250 0.500
Tc 0.500 0.500 0.000



Zr3Au: optimized geometry, PBEsol.

Computed properties:
As for the total magnetization: 0.00 μB/f.u. Its uncorrected energy is -32.336 eV for the cell shown. The formation energy comes out at -0.2856 eV per atom. Its space group is Imm2 (44).

a b c (Å): 3.190 5.314 5.789
angles (deg): 117.32 105.99 90.00
Element x y z (fractional)
Zr 0.500 0.546 0.000
Zr 0.726 0.374 0.452
Zr 0.274 0.922 0.548
Au 0.000 0.991 0.000



OsBr2Cl: optimized geometry, PBEsol.

Computed properties:
As for the total magnetization: 0.00 μB/f.u. Its uncorrected energy is -13.006 eV for the cell shown. Its space group is P4/mmm (123).

a b c (Å): 3.017 4.865 4.865
angles (deg): 90.00 90.00 90.00
Element x y z (fractional)
Br 0.000 0.500 0.000
Br 0.000 0.000 0.500
Os 0.500 0.000 0.000
Cl 0.500 0.500 0.500